Entry 1:
This record from the Alexandria database describes a relaxed LiPr5Hg4 crystal. The functional is PBE.

a b c (Å): 3.890 3.890 19.007
angles (deg): 90.00 90.00 90.00
Fractional positions:
Li: 0.000 0.000 0.000
Pr: 0.500 0.500 0.101
Pr: 0.500 0.500 0.299
Pr: 0.500 0.500 0.500
Pr: 0.500 0.500 0.701
Pr: 0.500 0.500 0.899
Hg: 0.000 0.000 0.195
Hg: 0.000 0.000 0.399
Hg: 0.000 0.000 0.601
Hg: 0.000 0.000 0.805

Computed properties:
**Volume**: 287.57 Å³/cell
**Formation energy from the elements**: -364 meV/atom
**VASP energy**: -3.066 eV per atom
**Symmetry**: P4/mmm (123)


Entry 2:
This record from the Alexandria database describes a relaxed CsSmScI6 crystal. The functional is PBE.

a b c (Å): 7.736 7.736 8.989
angles (deg): 90.00 90.00 120.00
Fractional positions:
Cs: 0.000 0.000 0.000
Sm: 0.333 0.667 0.500
Sc: 0.667 0.333 0.500
I: 0.368 0.013 0.698
I: 0.368 0.355 0.302
I: 0.645 0.013 0.302
I: 0.645 0.632 0.698
I: 0.987 0.355 0.698
I: 0.987 0.632 0.302

Computed properties:
**Volume**: 465.82 Å³/cell
**Formation energy from raw total energies**: -1.319 eV per atom
**VASP energy**: -3.675 eV per atom
**Symmetry**: P312 (149)


Entry 3:
This record from the Alexandria database describes a relaxed Na2CoAsSe crystal. The functional is PBE.

a b c (Å): 5.555 5.555 4.219
angles (deg): 90.00 90.00 90.00
Fractional positions:
Na: 0.000 0.500 0.000
Na: 0.500 0.000 0.000
Co: 0.000 0.000 0.000
As: 0.500 0.500 0.500
Se: 0.000 0.000 0.500

Computed properties:
**Volume**: 130.19 Å³/cell
**Formation energy from raw total energies**: 0.235 eV per atom
**VASP energy**: -3.341 eV per atom
**Symmetry**: P4/mmm (123)